# 1
## Li12Mg6Ag (PBE-GGA)

Data for a relaxed structure of Li12Mg6Ag.

## Properties
* SG: R-3
* energy of formation from the pure elements: -0.04 eV/atom

Lattice parameters (Å, degrees): 7.3326 7.3326 7.3326 91.47 91.47 91.47
Element x y z (fractional)
Li 0.4697 0.2037 0.5541
Li 0.2037 0.5541 0.4697
Li 0.5541 0.4697 0.2037
Li 0.5303 0.7963 0.4459
Li 0.7963 0.4459 0.5303
Li 0.4459 0.5303 0.7963
Li 0.8504 0.9531 0.6311
Li 0.3689 0.1496 0.0469
Li 0.0469 0.3689 0.1496
Li 0.1496 0.0469 0.3689
Li 0.6311 0.8504 0.9531
Li 0.9531 0.6311 0.8504
Mg 0.1147 0.2730 0.7396
Mg 0.7270 0.2604 0.8853
Mg 0.2604 0.8853 0.7270
Mg 0.8853 0.7270 0.2604
Mg 0.2730 0.7396 0.1147
Mg 0.7396 0.1147 0.2730
Ag 0.0000 0.0000 0.0000


# 2
## La2CdW (PBE-GGA)

Data for a relaxed structure of La2CdW.

## Properties
* SG: F-43m
* energy of formation from the pure elements: 0.54 eV/atom

Lattice parameters (Å, degrees): 5.1772 5.1772 5.1772 60.00 60.00 60.00
Element x y z (fractional)
Cd 0.5000 0.5000 0.5000
W 0.7500 0.7500 0.7500
La 0.0000 0.0000 0.0000
La 0.2500 0.2500 0.2500


# 3
## Mg4ZrSi (PBE-GGA)

Data for a relaxed structure of Mg4ZrSi.

## Properties
* SG: F-43m
* E_form (uncorrected): 0.353 eV/atom

Lattice parameters (Å, degrees): 5.6619 5.6619 5.6619 60.00 60.00 60.00
Element x y z (fractional)
Mg 0.8757 0.3748 0.3748
Mg 0.3748 0.3748 0.8757
Mg 0.3748 0.8757 0.3748
Mg 0.3748 0.3748 0.3748
Zr 0.0000 0.0000 0.0000
Si 0.7500 0.7500 0.7500


Number 1: DOS at the Fermi energy 9.0 states/eV/cell, E -1.897 eV/atom. Number 2: DOS at the Fermi energy 6.6 states/eV/cell, E -5.387 eV/atom. Number 3: DOS at the Fermi energy 6.5 states/eV/cell, E -3.038 eV/atom.